No. 1
Below is Hf2BN after structural relaxation, with properties calculated at the GGA-PBE level.

a b c (Å): 9.4796 9.4796 3.1786
angles (deg): 90.00 90.00 159.68
Atoms (fractional coordinates):
Hf  0.0721  0.9279  0.7500
Hf  0.3077  0.6923  0.7500
Hf  0.6923  0.3077  0.2500
Hf  0.9279  0.0721  0.2500
B  0.4754  0.5246  0.7500
B  0.5246  0.4754  0.2500
N  0.1906  0.8094  0.7500
N  0.8094  0.1906  0.2500

Computed properties:
As for the uncorrected formation energy: -1258 meV/atom. The symmetry is Cmcm. As for the crystal system: orthorhombic. For the energy above the most stable polymorph in this dataset, the calculation gives 0 meV/atom.

No. 2
Below is ZnAgF after structural relaxation, with properties calculated at the GGA-PBE level.

a b c (Å): 12.6711 2.9818 2.9818
angles (deg): 59.88 90.00 90.00
Atoms (fractional coordinates):
Zn  0.0000  0.0000  0.0000
Zn  0.5000  0.1487  0.1487
Ag  0.3308  0.8156  0.8156
Ag  0.6692  0.8156  0.8156
F  0.0965  0.3330  0.3330
F  0.9035  0.3330  0.3330

Computed properties:
As for the uncorrected formation energy: -923 meV/atom. The symmetry is Amm2. As for the crystal system: orthorhombic.

No. 3
Below is Ce2In3Ga2 after structural relaxation, with properties calculated at the GGA-PBE level.

a b c (Å): 10.3067 10.3067 4.3307
angles (deg): 90.00 90.00 157.17
Atoms (fractional coordinates):
Ce  0.1685  0.8315  0.0000
Ce  0.8315  0.1685  0.0000
In  0.0000  0.0000  0.0000
In  0.4250  0.5750  0.5000
In  0.5750  0.4250  0.5000
Ga  0.2860  0.7140  0.5000
Ga  0.7140  0.2860  0.5000

Computed properties:
The formation energy comes out at -0.344 eV per atom. The symmetry is Cmmm. As for the crystal system: orthorhombic.

No. 4
Below is PmYIr4 after structural relaxation, with properties calculated at the GGA-PBE level.

a b c (Å): 5.3956 5.3956 5.3956
angles (deg): 60.00 60.00 60.00
Atoms (fractional coordinates):
Pm  0.0000  0.0000  0.0000
Y  0.2500  0.2500  0.2500
Ir  0.1253  0.6249  0.6249
Ir  0.6249  0.1253  0.6249
Ir  0.6249  0.6249  0.1253
Ir  0.6249  0.6249  0.6249

Computed properties:
The formation energy comes out at -0.758 eV per atom. The symmetry is F-43m. As for the crystal system: cubic.

No. 5
Below is PrAgAu after structural relaxation, with properties calculated at the GGA-PBE level.

a b c (Å): 5.9043 5.9043 7.1745
angles (deg): 125.24 125.24 47.36
Atoms (fractional coordinates):
Pr  0.0386  0.0386  0.2898
Pr  0.9614  0.9614  0.7102
Ag  0.3377  0.3377  0.8882
Ag  0.6623  0.6623  0.1118
Au  0.3351  0.3351  0.3072
Au  0.6649  0.6649  0.6928

Computed properties:
The formation energy comes out at -0.532 eV per atom. The symmetry is C2/m. As for the crystal system: monoclinic. For the energy above the most stable polymorph in this dataset, the calculation gives 32 meV/atom.

No. 6
Below is Th3Zn7Rh4 after structural relaxation, with properties calculated at the GGA-PBE level.

a b c (Å): 7.9615 7.9615 9.9091
angles (deg): 121.99 121.99 29.69
Atoms (fractional coordinates):
Th  0.0000  0.0000  0.0000
Th  0.3011  0.3011  0.2878
Th  0.6989  0.6989  0.7122
Zn  0.0000  0.0000  0.5000
Zn  0.1562  0.1562  0.4294
Zn  0.3214  0.3214  0.9921
Zn  0.4810  0.4810  0.6767
Zn  0.5190  0.5190  0.3233
Zn  0.6786  0.6786  0.0079
Zn  0.8438  0.8438  0.5706
Rh  0.1042  0.1042  0.8146
Rh  0.3428  0.3428  0.7468
Rh  0.6572  0.6572  0.2532
Rh  0.8958  0.8958  0.1854

Computed properties:
The formation energy comes out at -0.557 eV per atom. The symmetry is C2/m. As for the crystal system: monoclinic.

The records above give, respectively, VASP energy values of -9.986 -2.922 -4.078 -8.535 -4.168 -4.884 eV per atom.
The records above give, respectively, size of the total moment values of 0.00 0.00 1.68 0.00 0.00 0.00 μB/f.u..